Compound: Cs3W2Cl9
Source: the Alexandria database
Functional: PBE-GGA
Structure: optimized geometry

a = 7.5495 Å, b = 7.5495 Å, c = 18.3047 Å
α = 90.00°, β = 90.00°, γ = 120.00°
Space group P6_3/mmc (No. 194)
Asymmetric unit:
Cs  0.0000  0.0000  0.2500 (multiplicity 2)
Cs  0.3333  0.6667  0.0693 (multiplicity 4)
W  0.3333  0.6667  0.6741 (multiplicity 4)
Cl  0.0164  0.5082  0.7500 (multiplicity 6)
Cl  0.1818  0.3635  0.5984 (multiplicity 12)

formation energy (no corrections)	-1.310	eV/atom
magnetization	4.00	μB/f.u.